Compound: BaV2AuF
Source: Alexandria
Functional: PBE with a Hubbard U
Structure: relaxed

a = 6.176 Å, b = 4.689 Å, c = 6.176 Å
α = 90.00°, β = 90.00°, γ = 90.00°
Positions (direct):
Ba: 0.000 0.000 0.000
V: 0.500 0.000 0.000
F: 0.000 0.500 0.000
Au: 0.500 0.500 0.500
V: 0.000 0.000 0.500

Summary:
V in Å³ per cell: 179
Crystal system: tetragonal
E_tot in eV/atom: -3.694
SG: P4/mmm, No. 123
ρ in g cm⁻³: 4.23